Entry from Alexandria via LeMat-Bulk: an optimized crystal structure of Sm3CoC2N6 (PBE-GGA).

## Properties
* formation energy from raw total energies: -0.560 eV/atom
* M_tot: 0.171 μB/atom
* ρ: 6.8 g cm⁻³
* DOS at the Fermi energy: 2.6 states/eV/f.u.

The structure in CIF format:
```
data_Sm3CoC2N6
_chemical_formula_sum 'Sm3 Co1 C2 N6'
_space_group_name_H-M_alt 'P -3 m 1'
_space_group_IT_number 164
_space_group_name_Hall '-P 3 2"'
_cell_length_a 5.2858
_cell_length_b 5.2858
_cell_length_c 6.2446
_cell_angle_alpha 90.00
_cell_angle_beta 90.00
_cell_angle_gamma 120.00
loop_
_atom_site_label
_atom_site_type_symbol
_atom_site_fract_x
_atom_site_fract_y
_atom_site_fract_z
_atom_site_occupancy
Sm1 Sm 0.0000 0.0000 0.0000 1
Sm2 Sm 0.3333 0.6667 0.6624 1
Co1 Co 0.0000 0.0000 0.5000 1
C1 C 0.3333 0.6667 0.2613 1
N1 N 0.1843 0.3686 0.2727 1
```